Entry from Alexandria via LeMat-Bulk: a relaxed structure of TaMoF2 (GGA+U).

a = 4.233 Å, b = 4.233 Å, c = 7.792 Å
α = 74.24°, β = 74.24°, γ = 90.00°
Last column: magnetic moment on the atom in μB.
Fractional coordinates of all 8 atoms:
Mo (0.500, 0.500, 0.000)  3.53
Mo (0.250, 0.750, 0.500)  3.54
F (0.764, 0.125, 0.250)  0.04
F (0.986, 0.625, 0.250)  0.04
F (0.375, 0.236, 0.750)  0.04
F (0.875, 0.014, 0.750)  0.04
Ta (0.000, 0.000, 0.000)  -0.77
Ta (0.750, 0.250, 0.500)  -0.77

Calculated values
The volume is 16.11 A^3/atom. For the energy above the most stable polymorph in this dataset, the calculation gives 114 meV/atom.